1.
# Tb2AlCd5

Crystalline Tb2AlCd5 at its relaxed geometry (GGA-PBE, the Open Quantum Materials Database).

abc: 4.863 6.541 6.541
angles: 59.47 90.00 90.00
Element x y z (fractional)
Al (0.000, 0.160, 0.160)
Cd (0.000, 0.677, 0.163)
Cd (0.500, 0.843, 0.322)
Cd (0.000, 0.163, 0.677)
Cd (0.500, 0.838, 0.838)
Cd (0.500, 0.322, 0.843)
Tb (0.500, 0.330, 0.330)
Tb (0.000, 0.667, 0.667)

Calculated values
- Magnetization: 0.01 μB/f.u.
- VASP energy: -19.747 eV for the cell shown
- Volume: 179.19 Å³ per cell

---

2.
# Tb2Al5Cd

Crystalline Tb2Al5Cd at its relaxed geometry (GGA-PBE, the Open Quantum Materials Database).

abc: 4.696 6.288 6.288
angles: 61.54 90.00 90.00
Element x y z (fractional)
Al (0.000, 0.701, 0.142)
Al (0.500, 0.854, 0.290)
Al (0.000, 0.142, 0.701)
Al (0.500, 0.849, 0.849)
Al (0.500, 0.290, 0.854)
Cd (0.000, 0.160, 0.160)
Tb (0.500, 0.342, 0.342)
Tb (0.000, 0.661, 0.661)

Calculated values
- Magnetization: 0.00 μB/f.u.
- VASP energy: -31.878 eV for the cell shown
- Volume: 163.26 Å³ per cell

---

3.
# Tb2Al3Cd3

Crystalline Tb2Al3Cd3 at its relaxed geometry (GGA-PBE, the Open Quantum Materials Database).

abc: 6.280 4.822 6.436
angles: 90.00 118.18 90.00
Element x y z (fractional)
Al (0.148, 0.500, 0.307)
Al (0.840, 0.000, 0.690)
Al (0.689, 0.500, 0.848)
Cd (0.833, 0.000, 0.155)
Cd (0.319, 0.000, 0.156)
Cd (0.164, 0.500, 0.840)
Tb (0.672, 0.500, 0.350)
Tb (0.335, 0.000, 0.655)

Calculated values
- Magnetization: 0.00 μB/f.u.
- Volume: 171.78 Å³ per cell
- Relative energy among the computed polymorphs: 4 meV per atom

---

4.
# Tb2Al3Cd3

Crystalline Tb2Al3Cd3 at its relaxed geometry (GGA-PBE, the Open Quantum Materials Database).

abc: 6.435 6.435 4.804
angles: 90.00 90.00 120.00
Element x y z (fractional)
Al (0.303, 0.152, 0.000)
Al (0.848, 0.152, 0.000)
Al (0.848, 0.697, 0.000)
Cd (0.160, 0.320, 0.500)
Cd (0.160, 0.840, 0.500)
Cd (0.680, 0.840, 0.500)
Tb (0.333, 0.667, 0.000)
Tb (0.667, 0.333, 0.500)

Calculated values
- Magnetization: 0.00 μB/f.u.
- Volume: 172.30 Å³ per cell
- Relative energy among the computed polymorphs: 10 meV per atom

---

5.
# TbAl2Cd

Crystalline TbAl2Cd at its relaxed geometry (GGA-PBE, the Open Quantum Materials Database).

abc: 4.776 6.473 6.473
angles: 57.08 90.00 90.00
Element x y z (fractional)
Al (0.500, 0.143, 0.143)
Al (0.500, 0.699, 0.154)
Al (0.500, 0.154, 0.699)
Al (0.000, 0.850, 0.850)
Cd (0.000, 0.828, 0.322)
Cd (0.000, 0.322, 0.828)
Tb (0.000, 0.326, 0.326)
Tb (0.500, 0.679, 0.679)

Calculated values
- Magnetization: 0.00 μB/f.u.
- Volume: 167.98 Å³ per cell
- Relative energy among the computed polymorphs: 1 meV per atom

---

6.
# TbAlCd2

Crystalline TbAlCd2 at its relaxed geometry (GGA-PBE, the Open Quantum Materials Database).

abc: 4.822 6.460 6.460
angles: 119.30 90.00 90.00
Element x y z (fractional)
Al (0.750, 0.836, 0.683)
Al (0.250, 0.683, 0.836)
Cd (0.750, 0.835, 0.154)
Cd (0.750, 0.322, 0.159)
Cd (0.250, 0.159, 0.322)
Cd (0.250, 0.154, 0.835)
Tb (0.250, 0.670, 0.342)
Tb (0.750, 0.342, 0.670)

Calculated values
- Magnetization: 0.00 μB/f.u.
- VASP energy: -22.613 eV for the cell shown
- Volume: 175.49 Å³ per cell

---

7.
# Tb2Al3Cd3

Crystalline Tb2Al3Cd3 at its relaxed geometry (GGA-PBE, the Open Quantum Materials Database).

abc: 4.848 6.400 6.400
angles: 59.80 90.00 90.00
Element x y z (fractional)
Al (0.000, 0.692, 0.146)
Al (0.000, 0.146, 0.692)
Al (0.500, 0.844, 0.844)
Cd (0.000, 0.159, 0.159)
Cd (0.500, 0.834, 0.318)
Cd (0.500, 0.318, 0.834)
Tb (0.500, 0.336, 0.336)
Tb (0.000, 0.671, 0.671)

Calculated values
- Magnetization: 0.00 μB/f.u.
- Volume: 171.61 Å³ per cell
- Relative energy among the computed polymorphs: 0 meV per atom

---

8.
# TbAlCd2

Crystalline TbAlCd2 at its relaxed geometry (GGA-PBE, the Open Quantum Materials Database).

abc: 4.816 6.467 6.467
angles: 60.75 90.00 90.00
Element x y z (fractional)
Al (0.000, 0.843, 0.317)
Al (0.000, 0.317, 0.843)
Cd (0.500, 0.160, 0.160)
Cd (0.500, 0.680, 0.165)
Cd (0.500, 0.165, 0.680)
Cd (0.000, 0.839, 0.839)
Tb (0.000, 0.334, 0.334)
Tb (0.500, 0.663, 0.663)

Calculated values
- Magnetization: 0.00 μB/f.u.
- VASP energy: -22.587 eV for the cell shown
- Volume: 175.72 Å³ per cell

---

9.
# TbAl2Cd

Crystalline TbAl2Cd at its relaxed geometry (GGA-PBE, the Open Quantum Materials Database).

abc: 6.243 6.243 4.847
angles: 90.00 90.00 117.64
Element x y z (fractional)
Al (0.147, 0.301, 0.250)
Al (0.699, 0.853, 0.250)
Al (0.301, 0.147, 0.750)
Al (0.853, 0.699, 0.750)
Cd (0.163, 0.837, 0.250)
Cd (0.837, 0.163, 0.750)
Tb (0.658, 0.342, 0.250)
Tb (0.342, 0.658, 0.750)

Calculated values
- Magnetization: 0.00 μB/f.u.
- Volume: 167.32 Å³ per cell
- Relative energy among the computed polymorphs: 8 meV per atom

---

10.
# TbAl2Cd

Crystalline TbAl2Cd at its relaxed geometry (GGA-PBE, the Open Quantum Materials Database).

abc: 4.809 6.408 6.408
angles: 122.01 90.00 90.00
Element x y z (fractional)
Al (0.250, 0.843, 0.140)
Al (0.250, 0.836, 0.692)
Al (0.750, 0.692, 0.836)
Al (0.750, 0.140, 0.843)
Cd (0.250, 0.320, 0.163)
Cd (0.750, 0.163, 0.320)
Tb (0.750, 0.677, 0.329)
Tb (0.250, 0.329, 0.677)

Calculated values
- Magnetization: 0.00 μB/f.u.
- Volume: 167.49 Å³ per cell
- Relative energy among the computed polymorphs: 0 meV per atom

---

11.
# AlCdTc2

Crystalline AlCdTc2 at its relaxed geometry (GGA-PBE, the Open Quantum Materials Database).

abc: 4.452 4.452 4.452
angles: 60.00 60.00 60.00
Element x y z (fractional)
Al (0.500, 0.500, 0.500)
Cd (0.250, 0.250, 0.250)
Tc (0.000, 0.000, 0.000)
Tc (0.750, 0.750, 0.750)

Calculated values
- Magnetization: 0.00 μB/f.u.
- VASP energy: -24.783 eV for the cell shown
- Volume: 62.39 Å³ per cell

---

12.
# AlCdTc

Crystalline AlCdTc at its relaxed geometry (GGA-PBE, the Open Quantum Materials Database).

abc: 4.397 4.397 4.397
angles: 60.00 60.00 60.00
Site moments in Bohr magnetons follow the coordinates.
Element x y z (fractional)
Al (0.500, 0.500, 0.500)  -0.03
Cd (0.000, 0.000, 0.000)  0.00
Tc (0.750, 0.750, 0.750)  1.19

Calculated values
- Magnetization: 1.25 μB/f.u.
- Volume: 60.09 Å³ per cell
- Relative energy among the computed polymorphs: 0 meV per atom

---

13.
# Al2CdTc

Crystalline Al2CdTc at its relaxed geometry (GGA-PBE, the Open Quantum Materials Database).

abc: 4.513 4.513 4.513
angles: 60.00 60.00 60.00
Element x y z (fractional)
Al (0.250, 0.250, 0.250)
Al (0.500, 0.500, 0.500)
Cd (0.750, 0.750, 0.750)
Tc (0.000, 0.000, 0.000)

Calculated values
- Magnetization: 0.01 μB/f.u.
- VASP energy: -17.677 eV for the cell shown
- Volume: 64.99 Å³ per cell

---

14.
# AlCdTe

Crystalline AlCdTe at its relaxed geometry (GGA-PBE, the Open Quantum Materials Database).

abc: 4.883 4.883 4.883
angles: 60.00 60.00 60.00
Element x y z (fractional)
Al (0.000, 0.000, 0.000)
Cd (0.250, 0.250, 0.250)
Te (0.750, 0.750, 0.750)

Calculated values
- Volume: 82.34 Å³ per cell
- Relative energy among the computed polymorphs: 0 meV per atom

---

15.
# Al2TlCd

Crystalline Al2TlCd at its relaxed geometry (GGA-PBE, the Open Quantum Materials Database).

abc: 5.039 5.039 5.039
angles: 60.00 60.00 60.00
Element x y z (fractional)
Al (0.250, 0.250, 0.250)
Al (0.500, 0.500, 0.500)
Cd (0.750, 0.750, 0.750)
Tl (0.000, 0.000, 0.000)

Calculated values
- VASP energy: -9.597 eV for the cell shown
- Volume: 90.50 Å³ per cell

---

16.
# YTm2Al2Cd4

Crystalline YTm2Al2Cd4 at its relaxed geometry (GGA-PBE, the Open Quantum Materials Database).

abc: 4.537 7.264 7.264
angles: 120.25 90.00 90.00
Element x y z (fractional)
Al (0.500, 0.669, 0.333)
Al (0.500, 0.333, 0.669)
Cd (0.500, 0.251, 0.000)
Cd (0.500, 0.000, 0.251)
Cd (0.500, 0.748, 0.748)
Cd (0.000, 0.997, 0.997)
Tm (0.000, 0.569, 0.001)
Tm (0.000, 0.001, 0.569)
Y (0.000, 0.432, 0.432)

Calculated values
- Magnetization: 0.00 μB/f.u.
- VASP energy: -29.841 eV for the cell shown
- Volume: 206.82 Å³ per cell

---

17.
# AlCd2W

Crystalline AlCd2W at its relaxed geometry (GGA-PBE, the Open Quantum Materials Database).

abc: 4.669 4.669 4.669
angles: 60.00 60.00 60.00
Site moments in Bohr magnetons follow the coordinates.
Element x y z (fractional)
Al (0.500, 0.500, 0.500)  -0.01
Cd (0.000, 0.000, 0.000)  0.00
Cd (0.750, 0.750, 0.750)  0.00
W (0.250, 0.250, 0.250)  0.79

Calculated values
- Magnetization: 0.99 μB/f.u.
- VASP energy: -15.854 eV for the cell shown
- Volume: 71.95 Å³ per cell

---

18.
# Y2AlCd

Crystalline Y2AlCd at its relaxed geometry (GGA-PBE, the Open Quantum Materials Database).

abc: 5.203 5.203 5.203
angles: 60.00 60.00 60.00
Site moments in Bohr magnetons follow the coordinates.
Element x y z (fractional)
Al (0.500, 0.500, 0.500)  0.01
Cd (0.250, 0.250, 0.250)  0.01
Y (0.000, 0.000, 0.000)  0.10
Y (0.750, 0.750, 0.750)  0.12

Calculated values
- Magnetization: 0.44 μB/f.u.
- VASP energy: -17.267 eV for the cell shown
- Volume: 99.61 Å³ per cell

---

19.
# YAl2Cd

Crystalline YAl2Cd at its relaxed geometry (GGA-PBE, the Open Quantum Materials Database).

abc: 4.936 4.936 4.936
angles: 60.00 60.00 60.00
Element x y z (fractional)
Al (0.000, 0.000, 0.000)
Al (0.250, 0.250, 0.250)
Cd (0.500, 0.500, 0.500)
Y (0.750, 0.750, 0.750)

Calculated values
- Magnetization: 0.00 μB/f.u.
- VASP energy: -15.234 eV for the cell shown
- Volume: 85.05 Å³ per cell

---

20.
# YAl2Cd

Crystalline YAl2Cd at its relaxed geometry (GGA-PBE, the Open Quantum Materials Database).

abc: 4.936 4.936 4.936
angles: 60.00 60.00 60.00
Element x y z (fractional)
Al (0.000, 0.000, 0.000)
Al (0.250, 0.250, 0.250)
Cd (0.750, 0.750, 0.750)
Y (0.500, 0.500, 0.500)

Calculated values
- Magnetization: 0.00 μB/f.u.
- VASP energy: -15.234 eV for the cell shown
- Volume: 85.05 Å³ per cell